1.
## ZnBi2O5 (PBE)

Data for a relaxed structure of ZnBi2O5.

- Space-group type: No. 1

abc: 3.9562 5.4486 12.2734
angles: 115.10 98.73 82.28
Fractional coordinates of all 16 atoms:
1 Zn 0.1247 0.8616 0.7336
2 Zn 0.1247 0.8616 0.2336
3 Bi 0.9568 0.5528 0.8739
4 Bi 0.6263 0.2989 0.0613
5 Bi 0.9568 0.5528 0.3739
6 Bi 0.6263 0.2989 0.5613
7 O 0.0124 0.1983 0.2119
8 O 0.6162 0.6724 0.7337
9 O 0.0917 0.9447 0.9181
10 O 0.0534 0.5411 0.0573
11 O 0.0534 0.5411 0.5573
12 O 0.5043 0.4287 0.4029
13 O 0.0124 0.1982 0.7119
14 O 0.0917 0.9447 0.4181
15 O 0.6162 0.6725 0.2337
16 O 0.5043 0.4287 0.9029

---

2.
## Zn3BiO (PBE)

Data for a relaxed structure of Zn3BiO.

- Space-group type: No. 221

abc: 5.4064 5.4064 5.4064
angles: 90.00 90.00 90.00
Fractional coordinates of all 5 atoms:
1 Zn 0.0000 0.5000 0.0000
2 Zn 0.0000 0.0000 0.5000
3 Zn 0.5000 0.0000 0.0000
4 Bi 0.0000 0.0000 0.0000
5 O 0.5000 0.5000 0.5000

---

3.
## ZnBi2O5 (PBE)

Data for a relaxed structure of ZnBi2O5.

- Space-group type: No. 14

abc: 11.3812 5.4554 8.7868
angles: 67.44 90.00 90.00
Fractional coordinates of all 32 atoms:
1 Zn 0.0899 0.5737 0.8533
2 Zn 0.9101 0.4263 0.1467
3 Zn 0.5899 0.4263 0.6467
4 Zn 0.4101 0.5737 0.3533
5 Bi 0.4104 0.2254 0.0311
6 Bi 0.5896 0.7746 0.9689
7 Bi 0.9104 0.7746 0.4689
8 Bi 0.0896 0.2254 0.5311
9 Bi 0.8707 0.0539 0.8670
10 Bi 0.1293 0.9461 0.1330
11 Bi 0.6293 0.0539 0.3670
12 Bi 0.3707 0.9461 0.6330
13 O 0.9236 0.0058 0.6238
14 O 0.0129 0.4630 0.6651
15 O 0.8297 0.0845 0.2724
16 O 0.4985 0.7493 0.4885
17 O 0.7310 0.6696 0.5319
18 O 0.7690 0.6696 0.0319
19 O 0.4871 0.4630 0.1651
20 O 0.5129 0.5370 0.8349
21 O 0.5015 0.2507 0.5115
22 O 0.4236 0.9942 0.8762
23 O 0.2690 0.3304 0.4681
24 O 0.0764 0.9942 0.3762
25 O 0.5764 0.0058 0.1238
26 O 0.2310 0.3304 0.9681
27 O 0.9985 0.2507 0.0115
28 O 0.0015 0.7493 0.9885
29 O 0.1703 0.9155 0.7276
30 O 0.9871 0.5370 0.3349
31 O 0.3297 0.9155 0.2276
32 O 0.6703 0.0845 0.7724

---

4.
## ZnBi2O4 (PBE)

Data for a relaxed structure of ZnBi2O4.

- Space-group type: No. 57

abc: 3.3929 10.6938 11.4860
angles: 90.00 90.00 90.00
Fractional coordinates of all 28 atoms:
1 Zn 0.8340 0.3574 0.7500
2 Zn 0.8340 0.1426 0.2500
3 Zn 0.1660 0.8574 0.7500
4 Zn 0.1660 0.6426 0.2500
5 Bi 0.6708 0.1223 0.9122
6 Bi 0.6708 0.3777 0.4122
7 Bi 0.3292 0.8777 0.4122
8 Bi 0.6708 0.3777 0.0878
9 Bi 0.3292 0.8777 0.0878
10 Bi 0.6708 0.1223 0.5878
11 Bi 0.3292 0.6223 0.5878
12 Bi 0.3292 0.6223 0.9122
13 O 0.2428 0.9639 0.6030
14 O 0.7572 0.0361 0.3970
15 O 0.2450 0.2500 0.5000
16 O 0.7572 0.4639 0.6030
17 O 0.7572 0.4639 0.8970
18 O 0.3395 0.2558 0.2500
19 O 0.2428 0.5361 0.3970
20 O 0.6605 0.7558 0.2500
21 O 0.2450 0.2500 0.0000
22 O 0.7550 0.7500 0.5000
23 O 0.2428 0.9639 0.8970
24 O 0.6605 0.7442 0.7500
25 O 0.3395 0.2442 0.7500
26 O 0.7550 0.7500 0.0000
27 O 0.2428 0.5361 0.1030
28 O 0.7572 0.0361 0.1030

---

5.
## ZnBi2O4 (PBE)

Data for a relaxed structure of ZnBi2O4.

- Space-group type: No. 160

abc: 6.6255 6.6255 6.6255
angles: 63.74 63.74 63.74
Fractional coordinates of all 14 atoms:
1 Zn 0.9971 0.9971 0.9971
2 Zn 0.3777 0.3777 0.3777
3 Bi 0.7668 0.7668 0.7668
4 Bi 0.3764 0.3764 0.8806
5 Bi 0.8806 0.3764 0.3764
6 Bi 0.3764 0.8806 0.3764
7 O 0.5942 0.1623 0.5942
8 O 0.1623 0.5942 0.5942
9 O 0.5942 0.5942 0.1623
10 O 0.6303 0.6303 0.6303
11 O 0.1272 0.1272 0.1272
12 O 0.1202 0.1202 0.6263
13 O 0.6263 0.1202 0.1202
14 O 0.1202 0.6263 0.1202

---

6.
## ZnBiO2 (PBE)

Data for a relaxed structure of ZnBiO2.

- Space-group type: No. 122

abc: 5.2528 5.2528 6.0281
angles: 64.17 64.17 90.00
Fractional coordinates of all 8 atoms:
1 Zn 0.5000 0.5000 0.0000
2 Zn 0.2500 0.7500 0.5000
3 Bi 0.0000 0.0000 0.0000
4 Bi 0.7500 0.2500 0.5000
5 O 0.5575 0.1250 0.2500
6 O 0.1925 0.6250 0.2500
7 O 0.3750 0.4425 0.7500
8 O 0.8750 0.8075 0.7500

---

7.
## ZnBi2O5 (PBE)

Data for a relaxed structure of ZnBi2O5.

- Space-group type: No. 63

abc: 5.9073 5.9073 10.9149
angles: 90.00 90.00 137.02
Fractional coordinates of all 16 atoms:
1 Zn 0.1833 0.8167 0.7500
2 Zn 0.8167 0.1833 0.2500
3 Bi 0.8601 0.1399 0.5706
4 Bi 0.1399 0.8601 0.4294
5 Bi 0.1399 0.8601 0.0706
6 Bi 0.8601 0.1399 0.9294
7 O 0.2413 0.7587 0.2500
8 O 0.7587 0.2413 0.7500
9 O 0.6968 0.3032 0.0798
10 O 0.3032 0.6968 0.9202
11 O 0.3032 0.6968 0.5798
12 O 0.6968 0.3032 0.4202
13 O 0.0542 0.9458 0.6152
14 O 0.9458 0.0542 0.3848
15 O 0.0542 0.9458 0.8848
16 O 0.9458 0.0542 0.1152

---

8.
## ZnBi2O6 (PBE)

Data for a relaxed structure of ZnBi2O6.

- Space-group type: No. 31

abc: 5.4206 5.8549 7.9993
angles: 90.00 90.00 90.00
Fractional coordinates of all 18 atoms:
1 Zn 0.5379 0.3253 0.5000
2 Zn 0.0379 0.6747 0.0000
3 Bi 0.5096 0.7595 0.7481
4 Bi 0.0096 0.2405 0.7519
5 Bi 0.0096 0.2405 0.2481
6 Bi 0.5096 0.7595 0.2519
7 O 0.6664 0.0776 0.3218
8 O 0.1664 0.9224 0.1782
9 O 0.7808 0.5148 0.6658
10 O 0.2808 0.4852 0.8342
11 O 0.2808 0.4852 0.1658
12 O 0.7808 0.5148 0.3342
13 O 0.1664 0.9224 0.8218
14 O 0.6664 0.0776 0.6782
15 O 0.1785 0.2121 0.5000
16 O 0.6785 0.7879 0.0000
17 O 0.3800 0.6764 0.5000
18 O 0.8800 0.3236 0.0000

---

9.
## Zn5Bi3O12 (PBE)

Data for a relaxed structure of Zn5Bi3O12.

- Space-group type: No. 230

abc: 10.9122 10.9122 10.9122
angles: 109.47 109.47 109.47
Fractional coordinates of all 80 atoms:
1 Bi 0.7500 0.3750 0.1250
2 Bi 0.8750 0.7500 0.1250
3 Bi 0.3750 0.7500 0.6250
4 Bi 0.2500 0.1250 0.3750
5 Bi 0.8750 0.1250 0.2500
6 Bi 0.3750 0.6250 0.2500
7 Bi 0.6250 0.3750 0.7500
8 Bi 0.1250 0.8750 0.7500
9 Bi 0.7500 0.8750 0.6250
10 Bi 0.6250 0.2500 0.3750
11 Bi 0.1250 0.2500 0.8750
12 Bi 0.2500 0.6250 0.8750
13 Zn 0.1250 0.3750 0.2500
14 Zn 0.0000 0.5000 0.0000
15 Zn 0.0000 0.0000 0.0000
16 Zn 0.3750 0.2500 0.1250
17 Zn 0.5000 0.0000 0.5000
18 Zn 0.5000 0.5000 0.0000
19 Zn 0.1250 0.7500 0.3750
20 Zn 0.7500 0.1250 0.8750
21 Zn 0.7500 0.6250 0.3750
22 Zn 0.3750 0.1250 0.7500
23 Zn 0.6250 0.8750 0.2500
24 Zn 0.5000 0.5000 0.5000
25 Zn 0.5000 0.0000 0.0000
26 Zn 0.0000 0.0000 0.5000
27 Zn 0.2500 0.3750 0.6250
28 Zn 0.2500 0.8750 0.1250
29 Zn 0.0000 0.5000 0.5000
30 Zn 0.8750 0.2500 0.6250
31 Zn 0.6250 0.7500 0.8750
32 Zn 0.8750 0.6250 0.7500
33 O 0.7160 0.1326 0.0404
34 O 0.3244 0.5404 0.4079
35 O 0.9596 0.3674 0.2840
36 O 0.5404 0.2160 0.1326
37 O 0.5834 0.7160 0.6756
38 O 0.9596 0.5921 0.1756
39 O 0.3244 0.7840 0.4166
40 O 0.0921 0.9166 0.1326
41 O 0.5921 0.9596 0.6756
42 O 0.7160 0.5834 0.1756
43 O 0.7840 0.4596 0.3674
44 O 0.8244 0.9079 0.0404
45 O 0.1326 0.7160 0.5404
46 O 0.3674 0.4079 0.0834
47 O 0.0834 0.9079 0.3674
48 O 0.4166 0.1326 0.5921
49 O 0.0834 0.1756 0.2160
50 O 0.4596 0.6756 0.0921
51 O 0.8244 0.9166 0.2840
52 O 0.1326 0.4166 0.0921
53 O 0.3674 0.9596 0.7840
54 O 0.5921 0.6326 0.4166
55 O 0.9079 0.8244 0.5404
56 O 0.7840 0.3244 0.9166
57 O 0.4079 0.3674 0.5834
58 O 0.0921 0.1756 0.4596
59 O 0.2160 0.6756 0.0834
60 O 0.1756 0.0834 0.7160
61 O 0.6326 0.0404 0.2160
62 O 0.8674 0.5834 0.9079
63 O 0.5404 0.3244 0.9079
64 O 0.5834 0.8674 0.4079
65 O 0.9166 0.8244 0.7840
66 O 0.9166 0.0921 0.6326
67 O 0.8674 0.2840 0.4596
68 O 0.1756 0.0921 0.9596
69 O 0.6326 0.5921 0.9166
70 O 0.4079 0.0404 0.3244
71 O 0.2840 0.4166 0.8244
72 O 0.2160 0.5404 0.6326
73 O 0.9079 0.0834 0.8674
74 O 0.6756 0.2160 0.5834
75 O 0.4596 0.7840 0.8674
76 O 0.0404 0.4079 0.8244
77 O 0.4166 0.2840 0.3244
78 O 0.0404 0.6326 0.7160
79 O 0.6756 0.4596 0.5921
80 O 0.2840 0.8674 0.9596

---

10.
## Zn2Bi5O12 (PBE)

Data for a relaxed structure of Zn2Bi5O12.

- Space-group type: No. 12

abc: 5.9977 6.9588 7.3143
angles: 106.14 90.00 115.53
Fractional coordinates of all 19 atoms:
1 Zn 0.7702 0.0000 0.0000
2 Zn 0.2298 0.0000 0.0000
3 Bi 0.3188 0.6376 0.6540
4 Bi 0.3154 0.6309 0.1578
5 Bi 0.0000 0.0000 0.5000
6 Bi 0.6846 0.3691 0.8422
7 Bi 0.6812 0.3624 0.3460
8 O 0.0200 0.0400 0.2243
9 O 0.0884 0.6561 0.9169
10 O 0.5677 0.6561 0.9169
11 O 0.1063 0.7145 0.4151
12 O 0.6082 0.7145 0.4151
13 O 0.5040 0.0079 0.8088
14 O 0.4960 0.9921 0.1912
15 O 0.8937 0.2855 0.5849
16 O 0.3918 0.2855 0.5849
17 O 0.9116 0.3439 0.0831
18 O 0.4323 0.3439 0.0831
19 O 0.9800 0.9600 0.7757

---

11.
## ZnBiO2 (PBE)

Data for a relaxed structure of ZnBiO2.

- Space-group type: No. 166

abc: 6.7333 6.7333 6.7333
angles: 27.87 27.87 27.87
Fractional coordinates of all 4 atoms:
1 Zn 0.5000 0.5000 0.5000
2 Bi 0.0000 0.0000 0.0000
3 O 0.8867 0.8867 0.8867
4 O 0.1133 0.1133 0.1133

---

12.
## ZnBi2O4 (PBE)

Data for a relaxed structure of ZnBi2O4.

- Space-group type: No. 74

abc: 6.8152 6.8152 6.8152
angles: 123.27 117.23 89.65
Fractional coordinates of all 14 atoms:
1 Zn 0.0000 0.5000 0.0000
2 Zn 0.0000 0.0000 0.5000
3 Bi 0.6035 0.8535 0.7500
4 Bi 0.3965 0.1465 0.2500
5 Bi 0.0000 0.5000 0.5000
6 Bi 0.5000 0.5000 0.0000
7 O 0.8072 0.2569 0.5503
8 O 0.2486 0.7454 0.9968
9 O 0.2066 0.2569 0.9497
10 O 0.2486 0.2518 0.5032
11 O 0.7514 0.7482 0.4968
12 O 0.7514 0.2546 0.0032
13 O 0.7934 0.7431 0.0503
14 O 0.1928 0.7431 0.4497

---

13.
## Zn3BiO (PBE)

Data for a relaxed structure of Zn3BiO.

- Space-group type: No. 221

abc: 4.4307 4.4307 4.4307
angles: 90.00 90.00 90.00
Fractional coordinates of all 5 atoms:
1 Zn 0.0000 0.5000 0.0000
2 Zn 0.0000 0.0000 0.5000
3 Zn 0.5000 0.0000 0.0000
4 Bi 0.5000 0.5000 0.5000
5 O 0.0000 0.0000 0.0000

---

14.
## ZnBi2O5 (PBE)

Data for a relaxed structure of ZnBi2O5.

- Space-group type: No. 61

abc: 5.5951 10.3096 16.2015
angles: 90.00 90.00 90.00
Fractional coordinates of all 64 atoms:
1 Zn 0.5512 0.6411 0.5999
2 Zn 0.0512 0.8589 0.5999
3 Zn 0.0512 0.3589 0.9001
4 Zn 0.9488 0.6411 0.0999
5 Zn 0.4488 0.8589 0.0999
6 Zn 0.9488 0.1411 0.4001
7 Zn 0.4488 0.3589 0.4001
8 Zn 0.5512 0.1411 0.9001
9 Bi 0.8893 0.6162 0.4355
10 Bi 0.6107 0.1162 0.5645
11 Bi 0.1107 0.3838 0.5645
12 Bi 0.3893 0.8838 0.4355
13 Bi 0.1107 0.8838 0.9355
14 Bi 0.8893 0.1162 0.0645
15 Bi 0.6107 0.6162 0.9355
16 Bi 0.3893 0.3838 0.0645
17 Bi 0.1131 0.1376 0.7511
18 Bi 0.8869 0.8624 0.2489
19 Bi 0.3869 0.6376 0.2489
20 Bi 0.8869 0.3624 0.2511
21 Bi 0.6131 0.8624 0.7489
22 Bi 0.6131 0.3624 0.7511
23 Bi 0.3869 0.1376 0.2511
24 Bi 0.1131 0.6376 0.7489
25 O 0.0291 0.6870 0.3204
26 O 0.8120 0.0160 0.9486
27 O 0.6880 0.5160 0.0514
28 O 0.8160 0.2263 0.8296
29 O 0.6840 0.7263 0.1704
30 O 0.0291 0.1870 0.1796
31 O 0.6840 0.2263 0.3296
32 O 0.4709 0.1870 0.6796
33 O 0.8120 0.5160 0.5514
34 O 0.9709 0.3130 0.6796
35 O 0.4709 0.6870 0.8204
36 O 0.0847 0.7790 0.4878
37 O 0.3120 0.9840 0.5514
38 O 0.1840 0.2737 0.3296
39 O 0.6758 0.9932 0.1406
40 O 0.3120 0.4840 0.9486
41 O 0.9709 0.8130 0.8204
42 O 0.3160 0.7737 0.6704
43 O 0.5847 0.2210 0.0122
44 O 0.6880 0.0160 0.4486
45 O 0.9153 0.2210 0.5122
46 O 0.3242 0.0068 0.8594
47 O 0.1840 0.7737 0.1704
48 O 0.1758 0.0068 0.3594
49 O 0.9153 0.7210 0.9878
50 O 0.5847 0.7210 0.4878
51 O 0.1880 0.4840 0.4486
52 O 0.1880 0.9840 0.0514
53 O 0.1758 0.5068 0.1406
54 O 0.4153 0.2790 0.5122
55 O 0.4153 0.7790 0.9878
56 O 0.0847 0.2790 0.0122
57 O 0.3242 0.5068 0.6406
58 O 0.3160 0.2737 0.8296
59 O 0.8160 0.7263 0.6704
60 O 0.6758 0.4932 0.3594
61 O 0.8242 0.4932 0.8594
62 O 0.5291 0.8130 0.3204
63 O 0.8242 0.9932 0.6406
64 O 0.5291 0.3130 0.1796

---

Going through the records in order, we get ΔE_f (raw) values of -1.014; 0.889; -1.038; -1.102; -1.113; -0.909; -1.022; -0.816; -1.045; -1.014; -0.840; -1.131; -0.131; -1.086 eV per atom.
Going through the records in order, we get electronic total energy values of -83.87; -8.22; -168.51; -146.32; -73.33; -37.41; -84.01; -92.26; -393.63; -100.71; -18.43; -73.57; -13.31; -340.11 eV for the cell shown.